Compound: ThGa2
Source: Alexandria
Functional: PBE-GGA
Structure: relaxed

Properties
The value obtained for the density of states at the Fermi level is 0.11 states/eV/atom. The calculation puts the formation energy at -639 meV per atom. As for the total energy: -5.13 eV/atom.

Geometry as CIF:
```
data_ThGa2
_chemical_formula_sum 'Th4 Ga8'
_cell_length_a 4.2695
_cell_length_b 4.2695
_cell_length_c 14.7505
_cell_angle_alpha 90.00
_cell_angle_beta 90.00
_cell_angle_gamma 90.00
_space_group_name_H-M_alt 'I 41/a m d'
_space_group_IT_number 141
loop_
_space_group_symop_operation_xyz
'x,y,z'
'-x,-y,-z'
'-y+1/4,x+3/4,z+1/4'
'y+1/4,-x+3/4,-z+1/4'
'-x+1/2,-y,z+1/2'
'x+1/2,y,-z+1/2'
'y+1/4,-x+1/4,z+3/4'
'-y+1/4,x+1/4,-z+3/4'
'x,-y,-z'
'-x,y,z'
'-y+1/4,-x+1/4,-z+3/4'
'y+1/4,x+1/4,z+3/4'
'-x+1/2,y,-z+1/2'
'x+1/2,-y,z+1/2'
'y+1/4,x+3/4,-z+1/4'
'-y+1/4,-x+3/4,z+1/4'
'x+1/2,y+1/2,z+1/2'
'-x+1/2,-y+1/2,-z+1/2'
'-y+3/4,x+1/4,z+3/4'
'y+3/4,-x+1/4,-z+3/4'
'-x,-y+1/2,z'
'x,y+1/2,-z'
'y+3/4,-x+3/4,z+1/4'
'-y+3/4,x+3/4,-z+1/4'
'x+1/2,-y+1/2,-z+1/2'
'-x+1/2,y+1/2,z+1/2'
'-y+3/4,-x+3/4,-z+1/4'
'y+3/4,x+3/4,z+1/4'
'-x,y+1/2,-z'
'x,-y+1/2,z'
'y+3/4,x+1/4,-z+3/4'
'-y+3/4,-x+1/4,z+3/4'
loop_
_atom_site_label
_atom_site_type_symbol
_atom_site_fract_x
_atom_site_fract_y
_atom_site_fract_z
Th1 Th 0.0000 0.2500 0.3750
Ga1 Ga 0.0000 0.2500 0.7917
```

Compound: ThGa2
Source: Alexandria
Functional: PBE-GGA
Structure: relaxed

Properties
The value obtained for the density of states at the Fermi level is 0.28 states/eV/atom. The calculation puts the formation energy at -635 meV per atom. As for the total energy: -5.13 eV/atom.

Geometry as CIF:
```
data_ThGa2
_chemical_formula_sum 'Th1 Ga2'
_cell_length_a 4.2760
_cell_length_b 4.2760
_cell_length_c 4.2395
_cell_angle_alpha 90.00
_cell_angle_beta 90.00
_cell_angle_gamma 120.00
_space_group_name_H-M_alt 'P 6/m m m'
_space_group_IT_number 191
_space_group_name_Hall '-P 6 2'
loop_
_atom_site_label
_atom_site_type_symbol
_atom_site_fract_x
_atom_site_fract_y
_atom_site_fract_z
Th1 Th 0.0000 0.0000 0.0000
Ga1 Ga 0.3333 0.6667 0.5000
```

Compound: ThGa
Source: Alexandria
Functional: PBE-GGA
Structure: relaxed

Properties
The value obtained for the density of states at the Fermi level is 0.96 states/eV/atom. The calculation puts the formation energy at -524 meV per atom. As for the total energy: -5.75 eV/atom.

Geometry as CIF:
```
data_ThGa
_chemical_formula_sum 'Th8 Ga8'
_cell_length_a 16.4168
_cell_length_b 4.1360
_cell_length_c 6.0710
_cell_angle_alpha 90.00
_cell_angle_beta 90.00
_cell_angle_gamma 90.00
_space_group_name_H-M_alt 'P n m a'
_space_group_IT_number 62
_space_group_name_Hall '-P 2ac 2n'
loop_
_atom_site_label
_atom_site_type_symbol
_atom_site_fract_x
_atom_site_fract_y
_atom_site_fract_z
Th1 Th 0.0365 0.2500 0.2493
Th2 Th 0.2135 0.7500 0.0135
Ga1 Ga 0.1068 0.2500 0.7572
Ga2 Ga 0.1432 0.7500 0.5044
```

Compound: ThTiGa
Source: Alexandria
Functional: PBE-GGA
Structure: relaxed

Properties
The value obtained for the density of states at the Fermi level is 1.52 states/eV/atom. The calculation puts the formation energy at -119 meV per atom. As for the total energy: -6.23 eV/atom. The energy above the lowest structure with this stoichiometry comes out at 0.67 eV per formula unit.

Geometry as CIF:
```
data_ThTiGa
_chemical_formula_sum 'Th1 Ti1 Ga1'
_cell_length_a 4.5230
_cell_length_b 4.5230
_cell_length_c 4.0134
_cell_angle_alpha 90.00
_cell_angle_beta 90.00
_cell_angle_gamma 120.00
_space_group_name_H-M_alt 'P -6 m 2'
_space_group_IT_number 187
_space_group_name_Hall 'P -6 2'
loop_
_atom_site_label
_atom_site_type_symbol
_atom_site_fract_x
_atom_site_fract_y
_atom_site_fract_z
Th1 Th 0.0000 0.0000 0.0000
Ti1 Ti 0.6667 0.3333 0.5000
Ga1 Ga 0.3333 0.6667 0.5000
```

Compound: ThTiGa
Source: Alexandria
Functional: PBE-GGA
Structure: relaxed

Properties
The value obtained for the density of states at the Fermi level is 1.34 states/eV/atom. The calculation puts the formation energy at -341 meV per atom. As for the total energy: -6.45 eV/atom. The energy above the lowest structure with this stoichiometry comes out at 0.00 eV per formula unit.

Geometry as CIF:
```
data_ThTiGa
_chemical_formula_sum 'Th2 Ti2 Ga2'
_cell_length_a 4.1595
_cell_length_b 4.1595
_cell_length_c 7.8197
_cell_angle_alpha 90.00
_cell_angle_beta 90.00
_cell_angle_gamma 90.00
_space_group_name_H-M_alt 'P 4/n m m'
_space_group_IT_number 129
loop_
_space_group_symop_operation_xyz
'x,y,z'
'-x,-y,-z'
'-y+1/2,x,z'
'y+1/2,-x,-z'
'-x+1/2,-y+1/2,z'
'x+1/2,y+1/2,-z'
'y,-x+1/2,z'
'-y,x+1/2,-z'
'x+1/2,-y,-z'
'-x+1/2,y,z'
'-y,-x,-z'
'y,x,z'
'-x,y+1/2,-z'
'x,-y+1/2,z'
'y+1/2,x+1/2,-z'
'-y+1/2,-x+1/2,z'
loop_
_atom_site_label
_atom_site_type_symbol
_atom_site_fract_x
_atom_site_fract_y
_atom_site_fract_z
Th1 Th 0.2500 0.2500 0.1481
Ti1 Ti 0.2500 0.7500 0.5000
Ga1 Ga 0.2500 0.2500 0.7289
```

Compound: ThTiGa
Source: Alexandria
Functional: PBE-GGA
Structure: relaxed

Properties
The value obtained for the density of states at the Fermi level is 1.21 states/eV/atom. The calculation puts the formation energy at -139 meV per atom. As for the total energy: -6.25 eV/atom. The energy above the lowest structure with this stoichiometry comes out at 0.60 eV per formula unit.

Geometry as CIF:
```
data_ThTiGa
_chemical_formula_sum 'Th2 Ti2 Ga2'
_cell_length_a 3.4734
_cell_length_b 3.4734
_cell_length_c 11.1050
_cell_angle_alpha 90.00
_cell_angle_beta 90.00
_cell_angle_gamma 90.00
_space_group_name_H-M_alt 'I 4 m m'
_space_group_IT_number 107
_space_group_name_Hall 'I 4 -2'
loop_
_atom_site_label
_atom_site_type_symbol
_atom_site_fract_x
_atom_site_fract_y
_atom_site_fract_z
Th1 Th 0.0000 0.0000 0.0000
Ti1 Ti 0.0000 0.0000 0.3060
Ga1 Ga 0.0000 0.0000 0.7009
```

Compound: ThTiGa2
Source: Alexandria
Functional: PBE-GGA
Structure: relaxed

Properties
The value obtained for the density of states at the Fermi level is 0.72 states/eV/atom. The calculation puts the formation energy at -341 meV per atom. As for the total energy: -5.68 eV/atom. The energy above the lowest structure with this stoichiometry comes out at 0.05 eV per formula unit.

Geometry as CIF:
```
data_ThTiGa2
_chemical_formula_sum 'Th1 Ti1 Ga2'
_cell_length_a 3.2197
_cell_length_b 3.2197
_cell_length_c 7.7286
_cell_angle_alpha 90.00
_cell_angle_beta 90.00
_cell_angle_gamma 90.00
_space_group_name_H-M_alt 'P 4/m m m'
_space_group_IT_number 123
_space_group_name_Hall '-P 4 2'
loop_
_atom_site_label
_atom_site_type_symbol
_atom_site_fract_x
_atom_site_fract_y
_atom_site_fract_z
Th1 Th 0.0000 0.0000 0.0000
Ti1 Ti 0.0000 0.0000 0.5000
Ga1 Ga 0.5000 0.5000 0.2884
```

Compound: ThTi2Ga
Source: Alexandria
Functional: PBE-GGA
Structure: relaxed

Properties
The value obtained for the density of states at the Fermi level is 1.84 states/eV/atom. The calculation puts the formation energy at -49 meV per atom. As for the total energy: -6.61 eV/atom. The energy above the lowest structure with this stoichiometry comes out at 0.27 eV per formula unit.

Geometry as CIF:
```
data_ThTi2Ga
_chemical_formula_sum 'Th4 Ti8 Ga4'
_cell_length_a 6.7882
_cell_length_b 6.7882
_cell_length_c 6.7882
_cell_angle_alpha 90.00
_cell_angle_beta 90.00
_cell_angle_gamma 90.00
_space_group_name_H-M_alt 'F m -3 m'
_space_group_IT_number 225
_space_group_name_Hall '-F 4 2 3'
loop_
_atom_site_label
_atom_site_type_symbol
_atom_site_fract_x
_atom_site_fract_y
_atom_site_fract_z
Th1 Th 0.0000 0.0000 0.0000
Ti1 Ti 0.2500 0.2500 0.2500
Ga1 Ga 0.0000 0.0000 0.5000
```

Compound: ThTiGa
Source: Alexandria
Functional: PBE-GGA
Structure: relaxed

Properties
The value obtained for the density of states at the Fermi level is 1.17 states/eV/atom. The calculation puts the formation energy at 24 meV per atom. As for the total energy: -6.09 eV/atom. The energy above the lowest structure with this stoichiometry comes out at 1.09 eV per formula unit.

Geometry as CIF:
```
data_ThTiGa
_chemical_formula_sum 'Th2 Ti2 Ga2'
_cell_length_a 3.2657
_cell_length_b 3.2657
_cell_length_c 14.6636
_cell_angle_alpha 90.00
_cell_angle_beta 90.00
_cell_angle_gamma 120.00
_space_group_name_H-M_alt 'P -6 m 2'
_space_group_IT_number 187
_space_group_name_Hall 'P -6 2'
loop_
_atom_site_label
_atom_site_type_symbol
_atom_site_fract_x
_atom_site_fract_y
_atom_site_fract_z
Th1 Th 0.0000 0.0000 0.1817
Ti1 Ti 0.0000 0.0000 0.5000
Ti2 Ti 0.6667 0.3333 0.0000
Ga1 Ga 0.6667 0.3333 0.3604
```

Compound: ThTi2Ga
Source: Alexandria
Functional: PBE-GGA
Structure: relaxed

Properties
The value obtained for the density of states at the Fermi level is 1.44 states/eV/atom. The calculation puts the formation energy at -116 meV per atom. As for the total energy: -6.68 eV/atom. The energy above the lowest structure with this stoichiometry comes out at 0.00 eV per formula unit.

Geometry as CIF:
```
data_ThTi2Ga
_chemical_formula_sum 'Th1 Ti2 Ga1'
_cell_length_a 4.5078
_cell_length_b 4.5078
_cell_length_c 3.9068
_cell_angle_alpha 90.00
_cell_angle_beta 90.00
_cell_angle_gamma 90.00
_space_group_name_H-M_alt 'P 4/m m m'
_space_group_IT_number 123
_space_group_name_Hall '-P 4 2'
loop_
_atom_site_label
_atom_site_type_symbol
_atom_site_fract_x
_atom_site_fract_y
_atom_site_fract_z
Th1 Th 0.0000 0.0000 0.0000
Ti1 Ti 0.0000 0.5000 0.5000
Ga1 Ga 0.5000 0.5000 0.0000
```

Compound: ThTiGa2
Source: Alexandria
Functional: PBE-GGA
Structure: relaxed

Properties
The value obtained for the density of states at the Fermi level is 0.89 states/eV/atom. The calculation puts the formation energy at -354 meV per atom. As for the total energy: -5.70 eV/atom. The energy above the lowest structure with this stoichiometry comes out at 0.00 eV per formula unit.

Geometry as CIF:
```
data_ThTiGa2
_chemical_formula_sum 'Th3 Ti3 Ga6'
_cell_length_a 4.3767
_cell_length_b 4.3767
_cell_length_c 15.8883
_cell_angle_alpha 90.00
_cell_angle_beta 90.00
_cell_angle_gamma 120.00
_space_group_name_H-M_alt 'R -3 m'
_space_group_IT_number 166
_space_group_name_Hall '-R 3 2"'
loop_
_atom_site_label
_atom_site_type_symbol
_atom_site_fract_x
_atom_site_fract_y
_atom_site_fract_z
Th1 Th 0.0000 0.0000 0.0000
Ti1 Ti 0.0000 0.0000 0.5000
Ga1 Ga 0.0000 0.0000 0.2195
```

Compound: Th2TlGa
Source: Alexandria
Functional: PBE-GGA
Structure: relaxed

Properties
The value obtained for the density of states at the Fermi level is 1.20 states/eV/atom. The calculation puts the formation energy at -171 meV per atom. As for the total energy: -5.23 eV/atom. The energy above the lowest structure with this stoichiometry comes out at 0.48 eV per formula unit.

Geometry as CIF:
```
data_Th2TlGa
_chemical_formula_sum 'Th8 Tl4 Ga4'
_cell_length_a 7.6265
_cell_length_b 7.6265
_cell_length_c 7.6265
_cell_angle_alpha 90.00
_cell_angle_beta 90.00
_cell_angle_gamma 90.00
_space_group_name_H-M_alt 'F m -3 m'
_space_group_IT_number 225
_space_group_name_Hall '-F 4 2 3'
loop_
_atom_site_label
_atom_site_type_symbol
_atom_site_fract_x
_atom_site_fract_y
_atom_site_fract_z
Th1 Th 0.2500 0.2500 0.2500
Tl1 Tl 0.0000 0.0000 0.0000
Ga1 Ga 0.0000 0.0000 0.5000
```